No. 1
Material: NaDy2P
Method: DFT, GGA-PBE
State: relaxed

Values from the calculation:
Its crystal system is trigonal. Its calculated formation energy is -0.58 eV/atom. As for the space-group type: R-3m, No. 166. The total energy is -4.562 eV/atom.

CIF file:
```
data_NaDy2P
_cell_length_a 10.589
_cell_length_b 10.589
_cell_length_c 10.589
_cell_angle_alpha 20.70
_cell_angle_beta 20.70
_cell_angle_gamma 20.70
_space_group_name_H-M_alt 'P 1'
_space_group_IT_number 1
loop_
_space_group_symop_operation_xyz
'x,y,z'
loop_
_atom_site_label
_atom_site_type_symbol
_atom_site_fract_x
_atom_site_fract_y
_atom_site_fract_z
Na1 Na 0.000 0.000 0.000
Dy1 Dy 0.115 0.115 0.115
Dy2 Dy 0.885 0.885 0.885
P1 P 0.500 0.500 0.500
```

No. 2
Material: NaDyP2Pd5
Method: DFT, GGA-PBE
State: relaxed

Values from the calculation:
Its crystal system is tetragonal. Its calculated formation energy is -0.68 eV/atom. As for the space-group type: P4/mmm, No. 123. The total energy is -5.427 eV/atom.

CIF file:
```
data_NaDyP2Pd5
_cell_length_a 4.183
_cell_length_b 4.183
_cell_length_c 8.462
_cell_angle_alpha 90.00
_cell_angle_beta 90.00
_cell_angle_gamma 90.00
_space_group_name_H-M_alt 'P 1'
_space_group_IT_number 1
loop_
_space_group_symop_operation_xyz
'x,y,z'
loop_
_atom_site_label
_atom_site_type_symbol
_atom_site_fract_x
_atom_site_fract_y
_atom_site_fract_z
Na1 Na 0.000 0.000 0.000
Dy1 Dy 0.000 0.000 0.500
P1 P 0.500 0.500 0.370
P2 P 0.500 0.500 0.630
Pd1 Pd 0.000 0.500 0.236
Pd2 Pd 0.000 0.500 0.764
Pd3 Pd 0.500 0.000 0.236
Pd4 Pd 0.500 0.000 0.764
Pd5 Pd 0.500 0.500 0.000
```

No. 3
Material: NaDyP2Pt4
Method: DFT, GGA-PBE
State: relaxed

Values from the calculation:
Its crystal system is tetragonal. Its calculated formation energy is -0.71 eV/atom. As for the space-group type: P4/mmm, No. 123. The total energy is -5.826 eV/atom.

CIF file:
```
data_NaDyP2Pt4
_cell_length_a 4.019
_cell_length_b 4.019
_cell_length_c 9.930
_cell_angle_alpha 90.00
_cell_angle_beta 90.00
_cell_angle_gamma 90.00
_space_group_name_H-M_alt 'P 1'
_space_group_IT_number 1
loop_
_space_group_symop_operation_xyz
'x,y,z'
loop_
_atom_site_label
_atom_site_type_symbol
_atom_site_fract_x
_atom_site_fract_y
_atom_site_fract_z
Na1 Na 0.000 0.000 0.000
Dy1 Dy 0.000 0.000 0.500
P1 P 0.500 0.500 0.159
P2 P 0.500 0.500 0.841
Pt1 Pt 0.000 0.500 0.282
Pt2 Pt 0.000 0.500 0.718
Pt3 Pt 0.500 0.000 0.282
Pt4 Pt 0.500 0.000 0.718
```

No. 4
Material: NaDy2P3Rh12
Method: DFT, GGA-PBE
State: relaxed

Values from the calculation:
Its crystal system is trigonal. Its calculated formation energy is -0.28 eV/atom. As for the space-group type: R-3m, No. 166. The total energy is -6.669 eV/atom.

CIF file:
```
data_NaDy2P3Rh12
_cell_length_a 6.667
_cell_length_b 6.667
_cell_length_c 6.667
_cell_angle_alpha 83.53
_cell_angle_beta 83.53
_cell_angle_gamma 83.53
_space_group_name_H-M_alt 'P 1'
_space_group_IT_number 1
loop_
_space_group_symop_operation_xyz
'x,y,z'
loop_
_atom_site_label
_atom_site_type_symbol
_atom_site_fract_x
_atom_site_fract_y
_atom_site_fract_z
Na1 Na 0.000 0.000 0.000
Dy1 Dy 0.372 0.372 0.372
Dy2 Dy 0.628 0.628 0.628
P1 P 0.000 0.000 0.500
P2 P 0.000 0.500 0.000
P3 P 0.500 0.000 0.000
Rh1 Rh 0.094 0.629 0.629
Rh2 Rh 0.177 0.177 0.667
Rh3 Rh 0.177 0.667 0.177
Rh4 Rh 0.333 0.823 0.823
Rh5 Rh 0.371 0.371 0.906
Rh6 Rh 0.371 0.906 0.371
Rh7 Rh 0.629 0.094 0.629
Rh8 Rh 0.629 0.629 0.094
Rh9 Rh 0.667 0.177 0.177
Rh10 Rh 0.823 0.333 0.823
Rh11 Rh 0.823 0.823 0.333
Rh12 Rh 0.906 0.371 0.371
```

No. 5
Material: Na2DyPaS4
Method: DFT, GGA-PBE
State: relaxed

Values from the calculation:
Its crystal system is monoclinic. The uncorrected formation energy comes out at -1252 kJ/mol of formula units. As for the space-group type: P2/m, No. 10. The total energy is -5.777 eV/atom.

CIF file:
```
data_Na2DyPaS4
_cell_length_a 6.898
_cell_length_b 3.929
_cell_length_c 7.136
_cell_angle_alpha 90.00
_cell_angle_beta 108.39
_cell_angle_gamma 90.00
_space_group_name_H-M_alt 'P 1'
_space_group_IT_number 1
loop_
_space_group_symop_operation_xyz
'x,y,z'
loop_
_atom_site_label
_atom_site_type_symbol
_atom_site_fract_x
_atom_site_fract_y
_atom_site_fract_z
Na1 Na 0.000 0.000 0.000
Na2 Na 0.500 0.500 0.000
Dy1 Dy 0.000 0.500 0.500
Pa1 Pa 0.500 0.000 0.500
S1 S 0.244 0.000 0.730
S2 S 0.254 0.500 0.267
S3 S 0.746 0.500 0.733
S4 S 0.756 0.000 0.270
```

No. 6
Material: NaDyPaS4
Method: DFT, GGA-PBE
State: relaxed

Values from the calculation:
Its crystal system is orthorhombic. The uncorrected formation energy comes out at -1155 kJ/mol of formula units. As for the space-group type: Imma, No. 74. The total energy is -6.271 eV/atom.

CIF file:
```
data_NaDyPaS4
_cell_length_a 8.170
_cell_length_b 8.170
_cell_length_c 8.170
_cell_angle_alpha 120.56
_cell_angle_beta 119.51
_cell_angle_gamma 89.94
_space_group_name_H-M_alt 'P 1'
_space_group_IT_number 1
loop_
_space_group_symop_operation_xyz
'x,y,z'
loop_
_atom_site_label
_atom_site_type_symbol
_atom_site_fract_x
_atom_site_fract_y
_atom_site_fract_z
Na1 Na 0.381 0.131 0.250
Na2 Na 0.619 0.869 0.750
Dy1 Dy 0.000 0.000 0.500
Dy2 Dy 0.000 0.500 0.000
Pa1 Pa 0.000 0.500 0.500
Pa2 Pa 0.500 0.500 0.000
S1 S 0.210 0.734 0.475
S2 S 0.238 0.264 0.526
S3 S 0.238 0.712 0.974
S4 S 0.241 0.266 0.975
S5 S 0.759 0.734 0.025
S6 S 0.762 0.288 0.026
S7 S 0.762 0.736 0.474
S8 S 0.790 0.266 0.525
```

No. 7
Material: Na2Dy2PaS6
Method: DFT, GGA-PBE
State: relaxed

Values from the calculation:
Its crystal system is monoclinic. The uncorrected formation energy comes out at -1871 kJ/mol of formula units. As for the space-group type: C2/m, No. 12. The total energy is -5.954 eV/atom.

CIF file:
```
data_Na2Dy2PaS6
_cell_length_a 6.920
_cell_length_b 6.920
_cell_length_c 7.127
_cell_angle_alpha 99.37
_cell_angle_beta 99.37
_cell_angle_gamma 119.83
_space_group_name_H-M_alt 'P 1'
_space_group_IT_number 1
loop_
_space_group_symop_operation_xyz
'x,y,z'
loop_
_atom_site_label
_atom_site_type_symbol
_atom_site_fract_x
_atom_site_fract_y
_atom_site_fract_z
Na1 Na 0.169 0.831 0.000
Na2 Na 0.831 0.169 0.000
Dy1 Dy 0.334 0.666 0.500
Dy2 Dy 0.666 0.334 0.500
Pa1 Pa 0.000 0.000 0.500
S1 S 0.070 0.403 0.721
S2 S 0.252 0.252 0.279
S3 S 0.403 0.070 0.721
S4 S 0.597 0.930 0.279
S5 S 0.748 0.748 0.721
S6 S 0.930 0.597 0.279
```

No. 8
Material: Na4Dy3PaS8
Method: DFT, GGA-PBE
State: relaxed

Values from the calculation:
Its crystal system is trigonal. The uncorrected formation energy comes out at -2661 kJ/mol of formula units. As for the space-group type: R-3m, No. 166. The total energy is -5.574 eV/atom.

CIF file:
```
data_Na4Dy3PaS8
_cell_length_a 8.131
_cell_length_b 8.131
_cell_length_c 8.131
_cell_angle_alpha 58.61
_cell_angle_beta 58.61
_cell_angle_gamma 58.61
_space_group_name_H-M_alt 'P 1'
_space_group_IT_number 1
loop_
_space_group_symop_operation_xyz
'x,y,z'
loop_
_atom_site_label
_atom_site_type_symbol
_atom_site_fract_x
_atom_site_fract_y
_atom_site_fract_z
Na1 Na 0.000 0.000 0.000
Na2 Na 0.000 0.500 0.500
Na3 Na 0.500 0.000 0.500
Na4 Na 0.500 0.500 0.000
Dy1 Dy 0.000 0.000 0.500
Dy2 Dy 0.000 0.500 0.000
Dy3 Dy 0.500 0.000 0.000
Pa1 Pa 0.500 0.500 0.500
S1 S 0.243 0.243 0.243
S2 S 0.244 0.743 0.743
S3 S 0.257 0.257 0.756
S4 S 0.257 0.756 0.257
S5 S 0.743 0.244 0.743
S6 S 0.743 0.743 0.244
S7 S 0.756 0.257 0.257
S8 S 0.757 0.757 0.757
```

No. 9
Material: NaDy2PaS6
Method: DFT, GGA-PBE
State: relaxed

Values from the calculation:
Its crystal system is trigonal. The uncorrected formation energy comes out at -1709 kJ/mol of formula units. As for the space-group type: R3, No. 146. The total energy is -6.249 eV/atom.

CIF file:
```
data_NaDy2PaS6
_cell_length_a 7.400
_cell_length_b 7.400
_cell_length_c 7.400
_cell_angle_alpha 55.97
_cell_angle_beta 55.97
_cell_angle_gamma 55.97
_space_group_name_H-M_alt 'P 1'
_space_group_IT_number 1
loop_
_space_group_symop_operation_xyz
'x,y,z'
loop_
_atom_site_label
_atom_site_type_symbol
_atom_site_fract_x
_atom_site_fract_y
_atom_site_fract_z
Na1 Na 0.000 0.000 0.000
Dy1 Dy 0.205 0.205 0.205
Dy2 Dy 0.716 0.716 0.716
Pa1 Pa 0.519 0.519 0.519
S1 S 0.127 0.424 0.791
S2 S 0.339 0.915 0.580
S3 S 0.424 0.791 0.127
S4 S 0.580 0.339 0.915
S5 S 0.791 0.127 0.424
S6 S 0.915 0.580 0.339
```

No. 10
Material: Na4Dy3PaSe8
Method: DFT, GGA-PBE
State: relaxed

Values from the calculation:
Its crystal system is trigonal. The uncorrected formation energy comes out at -2433 kJ/mol of formula units. As for the space-group type: R-3m, No. 166. The total energy is -5.105 eV/atom.

CIF file:
```
data_Na4Dy3PaSe8
_cell_length_a 8.505
_cell_length_b 8.505
_cell_length_c 8.505
_cell_angle_alpha 58.28
_cell_angle_beta 58.28
_cell_angle_gamma 58.28
_space_group_name_H-M_alt 'P 1'
_space_group_IT_number 1
loop_
_space_group_symop_operation_xyz
'x,y,z'
loop_
_atom_site_label
_atom_site_type_symbol
_atom_site_fract_x
_atom_site_fract_y
_atom_site_fract_z
Na1 Na 0.000 0.000 0.000
Na2 Na 0.000 0.500 0.500
Na3 Na 0.500 0.000 0.500
Na4 Na 0.500 0.500 0.000
Dy1 Dy 0.000 0.000 0.500
Dy2 Dy 0.000 0.500 0.000
Dy3 Dy 0.500 0.000 0.000
Pa1 Pa 0.500 0.500 0.500
Se1 Se 0.243 0.243 0.243
Se2 Se 0.243 0.745 0.745
Se3 Se 0.255 0.255 0.757
Se4 Se 0.255 0.757 0.255
Se5 Se 0.745 0.243 0.745
Se6 Se 0.745 0.745 0.243
Se7 Se 0.757 0.255 0.255
Se8 Se 0.757 0.757 0.757
```

> What is the formula in the tenth record?

Na4Dy3PaSe8